A plane-wave DFT calculation with PBE with a Hubbard U was carried out for an optimized crystal structure of ZrFe2BiO.

a = 5.5049 Å, b = 5.5049 Å, c = 3.9691 Å
α = 90.00°, β = 90.00°, γ = 90.00°
Last column: nearest neighbours and their distance in Å.
Sites, in units of the cell vectors:
Zr  0.0000  0.0000  0.0000  2 O 1.98
Fe  0.0000  0.5000  0.0000  2 Zr 2.75
Fe  0.5000  0.0000  0.0000  2 Zr 2.75
Bi  0.5000  0.5000  0.5000  8 Fe 3.39
O  0.0000  0.0000  0.5000  2 Zr 1.98

Output
ρ	5.9	g cm⁻³
space-group type	No. 123
DFT total energy	-5.549	eV per atom